[1]
DFT (PBE) results for crystalline TlNiBr2 at its relaxed geometry.

Structure (POSCAR):
```
TlNiBr2
1.0
-1.770 1.872 7.832
1.770 -1.872 7.832
1.770 1.872 -7.832
Tl Ni Br
1 1 2
direct
0.000 0.000 0.000
0.756 0.256 0.500
0.316 0.816 0.500
0.630 0.630 0.000
```

Calculated values
total magnetic moment = 1.00 Bohr magnetons per cell
SG = Imm2, No. 44
excess energy over the best structure of this formula in the dataset = 0.220 eV/atom
DFT total energy = -3.01 eV/atom
E_form (uncorrected) = -13 kJ/mol of atoms


[2]
DFT (PBE) results for crystalline Y3Cu9Ni2 at its relaxed geometry.

Structure (POSCAR):
```
Y3Cu9Ni2
1.0
-2.075 4.411 5.967
2.075 -4.411 5.967
2.075 4.411 -5.967
Y Cu Ni
3 9 2
direct
0.000 0.000 0.000
0.308 0.308 0.000
0.692 0.692 0.000
0.026 0.670 0.356
0.158 0.881 0.277
0.314 0.670 0.644
0.397 0.119 0.277
0.500 0.000 0.500
0.603 0.881 0.723
0.686 0.330 0.356
0.842 0.119 0.723
0.974 0.330 0.644
0.310 0.500 0.810
0.690 0.500 0.190
```

Calculated values
total magnetic moment = 0.00 Bohr magnetons per cell
SG = Immm, No. 71
DFT total energy = -5.06 eV/atom


[3]
DFT (PBE) results for crystalline Tm2HgIr at its relaxed geometry.

Structure (POSCAR):
```
Tm2HgIr
1.0
0.000 3.513 3.513
3.513 0.000 3.513
3.513 3.513 0.000
Tm Hg Ir
2 1 1
direct
0.250 0.250 0.250
0.750 0.750 0.750
0.000 0.000 0.000
0.500 0.500 0.500
```

Calculated values
total magnetic moment = 0.00 Bohr magnetons per cell
SG = Fm-3m, No. 225
excess energy over the best structure of this formula in the dataset = 0.083 eV/atom
DFT total energy = -5.19 eV/atom


[4]
DFT (PBE) results for crystalline YHoZnIn at its relaxed geometry.

Structure (POSCAR):
```
YHoZnIn
1.0
3.639 0.000 0.000
0.000 3.639 0.000
0.000 0.000 7.414
Y Ho Zn In
1 1 1 1
direct
0.000 0.000 0.000
0.000 0.000 0.538
0.500 0.500 0.765
0.500 0.500 0.271
```

Calculated values
total magnetic moment = 0.00 Bohr magnetons per cell
SG = P4mm, No. 99
excess energy over the best structure of this formula in the dataset = 0.000 eV/atom
DFT total energy = -4.19 eV/atom


[5]
DFT (PBE) results for crystalline SrZnCu3 at its relaxed geometry.

Structure (POSCAR):
```
SrZnCu3
1.0
5.553 0.000 0.000
0.000 5.553 0.000
0.000 0.000 5.553
Sr Zn Cu
1 1 3
direct
0.000 0.000 0.000
0.500 0.500 0.500
0.000 0.000 0.500
0.000 0.500 0.000
0.500 0.000 0.000
```

Calculated values
total magnetic moment = 0.00 Bohr magnetons per cell
SG = Pm-3m, No. 221
excess energy over the best structure of this formula in the dataset = 1.439 eV/atom
DFT total energy = -1.69 eV/atom


[6]
DFT (PBE) results for crystalline Cd2CoRu at its relaxed geometry.

Structure (POSCAR):
```
Cd2CoRu
1.0
0.000 3.193 3.193
3.193 0.000 3.193
3.193 3.193 0.000
Cd Co Ru
2 1 1
direct
0.250 0.250 0.250
0.750 0.750 0.750
0.000 0.000 0.000
0.500 0.500 0.500
```

Calculated values
total magnetic moment = 2.08 Bohr magnetons per cell
SG = Fm-3m, No. 225
excess energy over the best structure of this formula in the dataset = 0.266 eV/atom
DFT total energy = -4.09 eV/atom


[7]
DFT (PBE) results for crystalline Sr2ScAuO4 at its relaxed geometry.

Structure (POSCAR):
```
Sr2ScAuO4
1.0
-2.636 2.636 5.424
2.636 -2.636 5.424
2.636 2.636 -5.424
Sr Sc Au O
2 1 1 4
direct
0.000 0.000 0.000
0.750 0.250 0.500
0.500 0.500 0.000
0.250 0.750 0.500
0.171 0.607 0.995
0.393 0.387 0.564
0.613 0.176 0.005
0.824 0.829 0.436
```

Calculated values
total magnetic moment = 0.00 Bohr magnetons per cell
SG = I-4, No. 82
DFT total energy = -6.35 eV/atom
E_form (uncorrected) = -217 kJ/mol of atoms


[8]
DFT (PBE) results for crystalline Pu3Cd4Ag2 at its relaxed geometry.

Structure (POSCAR):
```
Pu3Cd4Ag2
1.0
4.482 -7.777 0.000
4.482 7.777 0.000
0.000 0.000 5.347
Pu Cd Ag
6 8 4
direct
0.000 0.000 0.250
0.000 0.000 0.750
0.333 0.667 0.250
0.333 0.667 0.750
0.667 0.333 0.250
0.667 0.333 0.750
0.005 0.671 0.000
0.328 0.333 0.500
0.329 0.995 0.500
0.333 0.328 0.000
0.667 0.672 0.000
0.671 0.005 0.500
0.672 0.667 0.500
0.995 0.329 0.000
0.000 0.338 0.500
0.000 0.662 0.500
0.338 0.000 0.000
0.662 0.000 0.000
```

Calculated values
total magnetic moment = 1.92 Bohr magnetons per cell
SG = Cccm, No. 66
DFT total energy = -5.22 eV/atom